Computed, not measured: a relaxed CoAsS2F crystal at the GGA+U level of DFT.

abc: 4.2556 4.2556 4.8594
angles: 90.00 90.00 90.00
Closest atoms and distances in Å follow each position.
Space group P4/mmm (No. 123)
One atom of each set of equivalent atoms:
Co 0.0000 0.0000 0.0000 [1 per cell]  4 S 2.13
As 0.0000 0.0000 0.5000 [1 per cell]  2 Co 2.43
S 0.0000 0.5000 0.0000 [2 per cell]  2 Co 2.13
F 0.5000 0.5000 0.5000 [1 per cell]  4 As 3.01, 8 S 3.23

The value obtained for the density of states at the Fermi level is 0.62 states/eV per atom. As for the total energy: -3.62 eV/atom.